# LuInPb, optimized geometry, DFT PBE
# **E_tot**: -11.46 eV per formula unit
# **Density of states at the Fermi level**: 1.89 states/eV per cell
# **Formation enthalpy at 0 K**: -0.49 eV per formula unit
# **Calculated volume**: 27.388 Å³/atom
data_LuInPb
_space_group_name_H-M_alt 'P 3 m 1'
_space_group_IT_number 156
_cell_length_a 5.2633
_cell_length_b 5.2633
_cell_length_c 3.4248
_cell_angle_alpha 90.00
_cell_angle_beta 90.00
_cell_angle_gamma 120.00
loop_
_space_group_symop_operation_xyz
'x,y,z'
'-y,x-y,z'
'-x+y,-x,z'
'-y,-x,z'
'-x+y,y,z'
'x,x-y,z'
loop_
_atom_site_label
_atom_site_fract_x
_atom_site_fract_y
_atom_site_fract_z
_atom_site_occupancy
Lu1 0.0000 0.0000 0.0000 1
In1 0.3333 0.6667 0.5935 1
Pb1 0.6667 0.3333 0.4219 1

---

# SmIn2Hg5, optimized geometry, DFT PBE
# **E_tot**: -12.65 eV per formula unit
# **Density of states at the Fermi level**: 12.98 states/eV per cell
# **Formation enthalpy at 0 K**: -0.94 eV per formula unit
# **Calculated volume**: 26.431 Å³/atom
data_SmIn2Hg5
_space_group_name_H-M_alt 'I 4/m c m'
_space_group_IT_number 140
_space_group_name_Hall '-I 4 2c'
_cell_length_a 8.000
_cell_length_b 8.000
_cell_length_c 13.214
_cell_angle_alpha 90.00
_cell_angle_beta 90.00
_cell_angle_gamma 90.00
loop_
_atom_site_label
_atom_site_fract_x
_atom_site_fract_y
_atom_site_fract_z
_atom_site_occupancy
Sm1 0.000 0.000 0.250 1
In1 0.149 0.351 0.000 1
Hg1 0.000 0.000 0.000 1
Hg2 0.148 0.352 0.337 1

---

# HfTaMo2, optimized geometry, DFT PBE
# **E_tot**: -43.87 eV per formula unit
# **Density of states at the Fermi level**: 4.88 states/eV per cell
# **Formation enthalpy at 0 K**: -0.40 eV per formula unit
# **Calculated volume**: 17.557 Å³/atom
data_HfTaMo2
_space_group_name_H-M_alt 'P 4/m m m'
_space_group_IT_number 123
_space_group_name_Hall '-P 4 2'
_cell_length_a 3.262
_cell_length_b 3.262
_cell_length_c 6.599
_cell_angle_alpha 90.00
_cell_angle_beta 90.00
_cell_angle_gamma 90.00
loop_
_atom_site_label
_atom_site_fract_x
_atom_site_fract_y
_atom_site_fract_z
_atom_site_occupancy
Hf1 0.000 0.000 0.000 1
Ta1 0.000 0.000 0.500 1
Mo1 0.500 0.500 0.260 1

---

# Al3IO, optimized geometry, DFT PBE
# **E_tot**: -10.56 eV per formula unit
# **Density of states at the Fermi level**: 2.38 states/eV per cell
# **Uncorrected formation energy**: 1.4349 eV per atom
# **Calculated volume**: 43.140 Å³/atom
data_Al3IO
_space_group_name_H-M_alt 'P m -3 m'
_space_group_IT_number 221
_space_group_name_Hall '-P 4 2 3'
_cell_length_a 5.997
_cell_length_b 5.997
_cell_length_c 5.997
_cell_angle_alpha 90.00
_cell_angle_beta 90.00
_cell_angle_gamma 90.00
loop_
_atom_site_label
_atom_site_fract_x
_atom_site_fract_y
_atom_site_fract_z
_atom_site_occupancy
Al1 0.000 0.000 0.500 1
I1 0.000 0.000 0.000 1
O1 0.500 0.500 0.500 1

---

# SiPRh2, optimized geometry, DFT PBE
# **E_tot**: -27.05 eV per formula unit
# **Density of states at the Fermi level**: 2.89 states/eV per cell
# **Uncorrected formation energy**: -0.3784 eV per atom
# **Calculated volume**: 13.476 Å³/atom
data_SiPRh2
_space_group_name_H-M_alt 'P 4/m m m'
_space_group_IT_number 123
_space_group_name_Hall '-P 4 2'
_cell_length_a 2.916
_cell_length_b 2.916
_cell_length_c 6.339
_cell_angle_alpha 90.00
_cell_angle_beta 90.00
_cell_angle_gamma 90.00
loop_
_atom_site_label
_atom_site_fract_x
_atom_site_fract_y
_atom_site_fract_z
_atom_site_occupancy
Si1 0.000 0.000 0.000 1
P1 0.000 0.000 0.500 1
Rh1 0.500 0.500 0.228 1

---

# Sm5Dy4Tm2, optimized geometry, DFT PBE
# **E_tot**: -49.02 eV per formula unit
# **Density of states at the Fermi level**: 16.35 states/eV per cell
# **Formation enthalpy at 0 K**: 1.93 eV per formula unit
# **Calculated volume**: 33.250 Å³/atom
data_Sm5Dy4Tm2
_space_group_name_H-M_alt 'P -1'
_space_group_IT_number 2
_cell_length_a 6.891
_cell_length_b 6.892
_cell_length_c 9.648
_cell_angle_alpha 69.59
_cell_angle_beta 69.64
_cell_angle_gamma 60.75
loop_
_space_group_symop_operation_xyz
'x,y,z'
'-x,-y,-z'
loop_
_atom_site_label
_atom_site_fract_x
_atom_site_fract_y
_atom_site_fract_z
_atom_site_occupancy
Sm1 0.000 0.000 0.000 1
Sm2 0.157 0.628 0.322 1
Sm3 0.372 0.843 0.678 1
Dy1 0.348 0.349 0.002 1
Dy2 0.358 0.357 0.652 1
Tm1 0.128 0.129 0.349 1

---

# Ho2B2Rh5Pb, optimized geometry, DFT PBE
# **E_tot**: -70.24 eV per formula unit
# **Density of states at the Fermi level**: 5.96 states/eV per cell
# **Formation enthalpy at 0 K**: -7.26 eV per formula unit
# **Calculated volume**: 15.323 Å³/atom
data_Ho2B2Rh5Pb
_space_group_name_H-M_alt 'P 4/m b m'
_space_group_IT_number 127
_space_group_name_Hall '-P 4 2ab'
_cell_length_a 9.628
_cell_length_b 9.628
_cell_length_c 3.306
_cell_angle_alpha 90.00
_cell_angle_beta 90.00
_cell_angle_gamma 90.00
loop_
_atom_site_label
_atom_site_fract_x
_atom_site_fract_y
_atom_site_fract_z
_atom_site_occupancy
Ho1 0.175 0.325 0.000 1
B1 0.121 0.621 0.000 1
Rh1 0.000 0.500 0.500 1
Rh2 0.071 0.772 0.500 1
Pb1 0.000 0.000 0.000 1

---

# TmPaBi2O6, optimized geometry, DFT PBE
# **E_tot**: -74.81 eV per formula unit
# **Density of states at the Fermi level**: 6.79 states/eV per cell
# **Uncorrected formation energy**: -2.3329 eV per atom
# **Calculated volume**: 15.546 Å³/atom
data_TmPaBi2O6
_space_group_name_H-M_alt 'C 1 2/m 1'
_space_group_IT_number 12
_cell_length_a 10.410
_cell_length_b 5.892
_cell_length_c 6.279
_cell_angle_alpha 90.00
_cell_angle_beta 126.17
_cell_angle_gamma 90.00
loop_
_space_group_symop_operation_xyz
'x,y,z'
'-x,-y,-z'
'-x,y,-z'
'x,-y,z'
'x+1/2,y+1/2,z'
'-x+1/2,-y+1/2,-z'
'-x+1/2,y+1/2,-z'
'x+1/2,-y+1/2,z'
loop_
_atom_site_label
_atom_site_fract_x
_atom_site_fract_y
_atom_site_fract_z
_atom_site_occupancy
Tm1 0.000 0.000 0.000 1
Pa1 0.000 0.500 0.500 1
Bi1 0.238 0.000 0.758 1
O1 0.080 0.253 0.832 1
O2 0.245 0.500 0.632 1

---

What did the first record say?
# LuInPb, optimized geometry, DFT PBE
# **E_tot**: -11.46 eV per formula unit
# **Density of states at the Fermi level**: 1.89 states/eV per cell
# **Formation enthalpy at 0 K**: -0.49 eV per formula unit
# **Calculated volume**: 27.388 Å³/atom
data_LuInPb
_space_group_name_H-M_alt 'P 3 m 1'
_space_group_IT_number 156
_cell_length_a 5.2633
_cell_length_b 5.2633
_cell_length_c 3.4248
_cell_angle_alpha 90.00
_cell_angle_beta 90.00
_cell_angle_gamma 120.00
loop_
_space_group_symop_operation_xyz
'x,y,z'
'-y,x-y,z'
'-x+y,-x,z'
'-y,-x,z'
'-x+y,y,z'
'x,x-y,z'
loop_
_atom_site_label
_atom_site_fract_x
_atom_site_fract_y
_atom_site_fract_z
_atom_site_occupancy
Lu1 0.0000 0.0000 0.0000 1
In1 0.3333 0.6667 0.5935 1
Pb1 0.6667 0.3333 0.4219 1